Density functional theory data (GGA-PBEsol) for a relaxed MgRhO2F crystal.

## Properties
As for the density of states at the Fermi level: 3.2 states/eV/cell. For the total magnetic moment, the calculation gives 0.90 μB/f.u. As for the uncorrected formation energy: -1.025 eV/atom.

a b c (Å): 3.885 3.885 4.039
angles (deg): 90.00 90.00 90.00
Space group P4/mmm (No. 123)
Asymmetric unit:
Mg1 0.000 0.000 0.000
Rh1 0.500 0.500 0.500
O1 0.000 0.500 0.500
F1 0.500 0.500 0.000